TaTi8Ni2 (PBE, optimized geometry); SG = C2/m; energy relative to the elements = 0.00 eV/atom; N(E_F) = 1.125 states/eV/atom
1.0
3.661 -6.028 0.000
3.661 6.028 0.000
-1.322 0.000 4.183
Ta Ti Ni
1 8 2
direct
0.000 0.000 0.000
0.083 0.313 0.585
0.231 0.769 0.000
0.313 0.083 0.585
0.389 0.389 0.180
0.611 0.611 0.820
0.687 0.917 0.415
0.769 0.231 0.000
0.917 0.687 0.415
0.310 0.690 0.500
0.690 0.310 0.500